No. 1
4
Lattice="3.793 0.000 0.000 0.000 3.769 0.012 0.000 1.843 7.654" Properties=species:S:1:pos:R:3 comment="PBE CdTe2W, relaxed" dos_ef_per_ev_cell=3.29 formation_energy_uncorrected_ev_per_atom=0.484 magmom_total_mub_per_fu=0.00 density_g_cm3=8.38 spacegroup="No. 6" pbc="T T T"
Cd 1.896 3.976 5.456
Te 0.000 2.087 7.003
Te 1.896 2.103 2.420
W 0.000 2.095 4.275

No. 2
4
Lattice="7.318 0.041 0.002 4.888 5.447 -0.002 -5.604 -3.854 2.702" Properties=species:S:1:pos:R:3 comment="PBE CdTe2W, relaxed" dos_ef_per_ev_cell=3.21 formation_energy_uncorrected_ev_per_atom=0.328 magmom_total_mub_per_fu=0.00 density_g_cm3=8.55 spacegroup="No. 71" pbc="T T T"
W 2.693 2.168 1.350
Cd 3.909 -0.534 1.352
Te 5.071 2.280 0.000
Te 1.032 0.464 0.000

No. 3
3
Lattice="-2.407 0.283 2.233 2.302 -2.333 0.346 4.078 4.591 3.814" Properties=species:S:1:pos:R:3 comment="PBE CdTeW, relaxed" dos_ef_per_ev_cell=0.81 formation_energy_uncorrected_ev_per_atom=0.439 e_above_lowest_polymorph_mev_per_atom=0.0 magmom_total_mub_per_fu=0.00 density_g_cm3=10.35 spacegroup="No. 156" pbc="T T T"
W 1.814 2.396 4.083
Cd 3.918 4.411 3.664
Te 2.320 0.326 2.459

No. 4
4
Lattice="5.113 0.000 0.000 2.557 4.428 0.000 2.557 1.476 4.175" Properties=species:S:1:pos:R:3 comment="PBE CdTe2W, relaxed" dos_ef_per_ev_cell=2.55 formation_energy_uncorrected_ev_per_atom=1.094 magmom_total_mub_per_fu=2.40 density_g_cm3=9.69 spacegroup="No. 216" pbc="T T T"
W 7.670 4.428 3.131
Te 2.557 1.476 1.044
Cd 5.113 2.952 2.087
Te 0.000 0.000 0.000

No. 5
5
Lattice="-3.085 1.206 1.495 0.286 -2.510 2.613 3.209 5.014 6.993" Properties=species:S:1:pos:R:3 comment="PBE Cd2TeW2, relaxed" dos_ef_per_ev_cell=4.44 formation_energy_uncorrected_ev_per_atom=0.756 e_above_lowest_polymorph_mev_per_atom=0.0 magmom_total_mub_per_fu=0.00 density_g_cm3=10.27 spacegroup="No. 139" pbc="T T T"
Te 0.000 0.000 0.000
Cd -0.361 0.625 3.167
Cd 0.771 3.085 7.934
W -0.637 2.784 5.271
W 1.048 0.926 5.830

No. 6
4
Lattice="5.068 0.305 0.000 -0.298 5.069 0.000 0.000 0.000 3.484" Properties=species:S:1:pos:R:3 comment="PBE CdTe2W, relaxed" dos_ef_per_ev_cell=3.46 formation_energy_uncorrected_ev_per_atom=0.795 magmom_total_mub_per_fu=1.49 density_g_cm3=10.20 spacegroup="No. 65" pbc="T T T"
Te 0.000 0.000 0.000
Cd -0.149 2.534 1.742
W 2.534 0.152 1.742
Te 2.385 2.687 0.000

No. 7
4
Lattice="-0.724 2.707 1.592 -3.000 -1.079 0.471 2.782 -4.121 8.270" Properties=species:S:1:pos:R:3 comment="PBE CdTe2W, relaxed" dos_ef_per_ev_cell=3.87 formation_energy_uncorrected_ev_per_atom=0.368 magmom_total_mub_per_fu=0.02 density_g_cm3=9.14 spacegroup="No. 99" pbc="T T T"
W 1.373 -2.034 4.081
Te 2.732 -4.047 8.121
Te -0.944 -0.546 3.762
Cd 0.070 -2.048 6.775

No. 8
4
Lattice="-0.701 -4.348 -3.770 3.386 0.101 -4.705 0.773 0.493 5.725" Properties=species:S:1:pos:R:3 comment="PBE CdTe2W, relaxed" dos_ef_per_ev_cell=2.86 formation_energy_uncorrected_ev_per_atom=0.933 magmom_total_mub_per_fu=1.99 density_g_cm3=9.95 spacegroup="No. 119" pbc="T T T"
W 1.343 -2.123 -4.238
Te 2.751 -0.764 -1.609
Cd 0.707 -2.989 -1.142
Te 0.000 0.000 0.000

No. 9
3
Lattice="-3.132 0.145 3.889 3.981 -3.015 0.110 1.563 2.107 1.181" Properties=species:S:1:pos:R:3 comment="PBE CdTeW, relaxed" dos_ef_per_ev_cell=2.88 formation_energy_uncorrected_ev_per_atom=0.812 e_above_lowest_polymorph_mev_per_atom=373.2 magmom_total_mub_per_fu=0.00 density_g_cm3=11.32 spacegroup="No. 187" pbc="T T T"
Cd 1.563 2.106 1.180
Te 0.021 0.145 3.220
W 2.391 -0.909 1.960

No. 10
4
Lattice="-2.545 -1.793 -0.617 1.507 -0.671 2.710 -6.428 7.274 5.376" Properties=species:S:1:pos:R:3 comment="PBE CdTe2W, relaxed" dos_ef_per_ev_cell=3.35 formation_energy_uncorrected_ev_per_atom=0.516 magmom_total_mub_per_fu=0.00 density_g_cm3=9.06 spacegroup="No. 65" pbc="T T T"
Te -0.335 0.379 0.280
Cd -5.340 4.224 5.079
W -2.126 0.587 2.391
Te -2.880 3.259 2.408

No. 11
5
Lattice="-0.284 -2.701 -4.146 3.128 -3.335 1.958 -3.843 -2.496 1.889" Properties=species:S:1:pos:R:3 comment="PBE ZnCd2TeW, relaxed" dos_ef_per_ev_cell=2.47 formation_energy_uncorrected_ev_per_atom=0.990 magmom_total_mub_per_fu=2.50 density_g_cm3=8.18 spacegroup="No. 123" pbc="T T T"
Zn 0.000 0.000 0.000
Te -0.499 -4.265 -0.150
W 1.564 -1.667 0.979
Cd -1.921 -1.248 0.944
Cd -0.142 -1.350 -2.073

No. 12
4
Lattice="-6.421 -0.574 7.071 -2.556 -0.666 9.197 -4.289 3.191 7.936" Properties=species:S:1:pos:R:3 comment="PBE YCdTe2, relaxed" dos_ef_per_ev_cell=3.53 formation_energy_uncorrected_ev_per_atom=-0.757 magmom_total_mub_per_fu=0.00 density_g_cm3=4.88 spacegroup="No. 166" pbc="T T T"
Te -11.884 1.748 21.682
Cd 0.000 0.000 0.000
Y -6.633 0.976 12.102
Te -1.383 0.203 2.523